No. 1
DFT (PBE-GGA) results for an optimized crystal structure of Pm2NdDyY6.

Output
Total moment: 0.0 μB/cell
Formation enthalpy at 0 K: 0.117 eV per atom
SG: C2/c (15)
D(E_F): 31.5 states/eV per cell

Unit cell a=9.8833 b=8.7917 c=8.7917 alpha=117.56 beta=95.37 gamma=95.37
Fractional positions:
Pm1 0.4562 0.8106 0.7124
Pm2 0.0438 0.2876 0.1894
Pm3 0.5438 0.1894 0.2876
Pm4 0.9562 0.7124 0.8106
Nd1 0.2500 0.4041 0.5959
Nd2 0.7500 0.5959 0.4041
Dy1 0.2500 0.9821 0.0179
Dy2 0.7500 0.0179 0.9821
Y1 0.0562 0.1208 0.7453
Y2 0.4438 0.2547 0.8792
Y3 0.9438 0.8792 0.2547
Y4 0.5562 0.7453 0.1208
Y5 0.3163 0.9750 0.4212
Y6 0.1837 0.5788 0.0250
Y7 0.6837 0.0250 0.5788
Y8 0.8163 0.4212 0.9750
Y9 0.1196 0.7044 0.4981
Y10 0.3804 0.5019 0.2956
Y11 0.8804 0.2956 0.5019
Y12 0.6196 0.4981 0.7044

=====

No. 2
DFT (PBE-GGA) results for an optimized crystal structure of Ac2MnInS6.

Output
ΔE_f (raw): -1.373 eV per atom
Total moment: 8.0 μB/cell
SG: P2_1/c (14)

Unit cell a=6.5605 b=7.5367 c=9.6069 alpha=90.00 beta=89.24 gamma=90.00
Fractional positions:
Ac1 0.0383 0.8936 0.2514
Ac2 0.5383 0.6064 0.7514
Ac3 0.9617 0.1064 0.7486
Ac4 0.4617 0.3936 0.2486
Mn1 0.5000 0.0000 0.5000
Mn2 0.0000 0.5000 0.0000
In1 0.5000 0.0000 0.0000
In2 0.0000 0.5000 0.5000
S1 0.3003 0.6693 0.0454
S2 0.8003 0.8307 0.5454
S3 0.6997 0.3307 0.9546
S4 0.1997 0.1693 0.4546
S5 0.3167 0.6793 0.4503
S6 0.8167 0.8207 0.9503
S7 0.6833 0.3207 0.5497
S8 0.1833 0.1793 0.0497
S9 0.8975 0.5120 0.2350
S10 0.3975 0.9880 0.7350
S11 0.1025 0.4880 0.7650
S12 0.6025 0.0120 0.2650

=====

No. 3
DFT (PBE-GGA) results for an optimized crystal structure of La4FeOs.

Output
Total moment: 2.1 μB/cell
Formation enthalpy at 0 K: 1.131 eV per atom
SG: F-43m (216)
D(E_F): 11.7 states/eV per cell

Unit cell a=6.1275 b=6.1275 c=6.1275 alpha=60.00 beta=60.00 gamma=60.00
Fractional positions:
La1 0.8725 0.3758 0.3758
La2 0.3758 0.3758 0.8725
La3 0.3758 0.8725 0.3758
La4 0.3758 0.3758 0.3758
Fe1 0.0000 0.0000 0.0000
Os1 0.7500 0.7500 0.7500

=====

No. 4
DFT (PBE-GGA) results for an optimized crystal structure of USnSbAu.

Output
ΔE_f (raw): -0.227 eV per atom
Total moment: 2.2 μB/cell
SG: Pmmm (47)
D(E_F): 6.6 states/eV per cell
Energy relative to the lowest polymorph listed for this composition: 0 meV per atom

Unit cell a=4.1818 b=4.5620 c=4.9031 alpha=90.00 beta=90.00 gamma=90.00
Fractional positions:
U1 0.0000 0.5000 0.5000
Sn1 0.5000 0.5000 0.0000
Sb1 0.5000 0.0000 0.5000
Au1 0.0000 0.0000 0.0000

=====

No. 5
DFT (PBE-GGA) results for an optimized crystal structure of BaCrN3.

Output
ΔE_f (raw): 2.476 eV per atom
Total moment: 1.8 μB/cell
SG: Pm-3m (221)
D(E_F): 2.5 states/eV per cell

Unit cell a=4.5442 b=4.5442 c=4.5442 alpha=90.00 beta=90.00 gamma=90.00
Fractional positions:
Cr1 0.5000 0.5000 0.5000
Ba1 0.0000 0.0000 0.0000
N1 0.0000 0.5000 0.0000
N2 0.0000 0.0000 0.5000
N3 0.5000 0.0000 0.0000

=====

No. 6
DFT (PBE-GGA) results for an optimized crystal structure of Er8TmCo2.

Output
Total moment: 0.0 μB/cell
Formation enthalpy at 0 K: -0.001 eV per atom
SG: C2/m (12)
D(E_F): 15.5 states/eV per cell

Unit cell a=5.2616 b=7.8763 c=7.8763 alpha=111.82 beta=96.63 gamma=96.63
Fractional positions:
Er1 0.9253 0.9362 0.6705
Er2 0.9253 0.6705 0.9362
Er3 0.2984 0.6126 0.6126
Er4 0.5000 0.7389 0.2611
Er5 0.5000 0.2611 0.7389
Er6 0.7016 0.3874 0.3874
Er7 0.0747 0.3295 0.0638
Er8 0.0747 0.0638 0.3295
Tm1 0.5000 0.0000 0.0000
Co1 0.0000 0.3143 0.6857
Co2 0.0000 0.6857 0.3143

=====

No. 7
DFT (PBE-GGA) results for an optimized crystal structure of AlAu2Se.

Output
ΔE_f (raw): -0.117 eV per atom
Total moment: 0.0 μB/cell
SG: Cm (8)
D(E_F): 1.1 states/eV per cell

Unit cell a=6.2917 b=6.2917 c=3.6828 alpha=90.21 beta=90.21 gamma=34.24
Fractional positions:
Au1 0.9875 0.9875 0.8735
Au2 0.2693 0.2693 0.8763
Al1 0.7268 0.7268 0.3761
Se1 0.5164 0.5164 0.3740

=====

No. 8
DFT (PBE-GGA) results for an optimized crystal structure of Ba2In3Hg4.

Output
Total moment: 0.0 μB/cell
Formation enthalpy at 0 K: -0.384 eV per atom
SG: Fmmm (69)
D(E_F): 3.8 states/eV per cell
Energy relative to the lowest polymorph listed for this composition: 0 meV per atom

Unit cell a=6.1371 b=6.1970 c=8.7590 alpha=80.01 beta=69.49 gamma=60.32
Fractional positions:
Ba1 0.6354 0.0000 0.7293
Ba2 0.3646 0.0000 0.2707
In1 0.0000 0.5000 0.0000
In2 0.0000 0.0000 0.0000
In3 0.5000 0.5000 0.0000
Hg1 0.9902 0.6733 0.3463
Hg2 0.6635 0.3267 0.3463
Hg3 0.0098 0.3267 0.6537
Hg4 0.3365 0.6733 0.6537

=====

No. 9
DFT (PBE-GGA) results for an optimized crystal structure of Ni2AgSeBr.

Output
ΔE_f (raw): 0.771 eV per atom
Total moment: 2.0 μB/cell
SG: P4/mmm (123)
D(E_F): 5.9 states/eV per cell

Unit cell a=4.4343 b=5.3689 c=4.4343 alpha=90.00 beta=90.00 gamma=90.00
Fractional positions:
Ni1 0.0000 0.0000 0.5000
Ni2 0.5000 0.0000 0.0000
Se1 0.5000 0.5000 0.5000
Br1 0.0000 0.0000 0.0000
Ag1 0.0000 0.5000 0.0000

=====

No. 10
DFT (PBE-GGA) results for an optimized crystal structure of CeSm2U2Ru5.

Output
Total moment: 0.0 μB/cell
Formation enthalpy at 0 K: -0.253 eV per atom
SG: P4/mbm (127)
D(E_F): 18.9 states/eV per cell

Unit cell a=3.6329 b=10.6343 c=10.6343 alpha=90.00 beta=90.00 gamma=90.00
Fractional positions:
Ce1 0.0000 0.0000 0.0000
Ce2 0.0000 0.5000 0.5000
Sm1 0.0000 0.6758 0.1758
Sm2 0.0000 0.3242 0.8242
Sm3 0.0000 0.1758 0.3242
Sm4 0.0000 0.8242 0.6758
U1 0.0000 0.1343 0.6343
U2 0.0000 0.8657 0.3657
U3 0.0000 0.6343 0.8657
U4 0.0000 0.3657 0.1343
Ru1 0.5000 0.2081 0.0529
Ru2 0.5000 0.7919 0.9471
Ru3 0.5000 0.0529 0.7919
Ru4 0.5000 0.7081 0.4471
Ru5 0.5000 0.9471 0.2081
Ru6 0.5000 0.2919 0.5529
Ru7 0.5000 0.5529 0.7081
Ru8 0.5000 0.4471 0.2919
Ru9 0.5000 0.5000 0.0000
Ru10 0.5000 0.0000 0.5000

=====

> The highest total moment belongs to which entry?

Ac2MnInS6